(1)
Material: Ba2S6Br
Method: DFT, PBE
State: optimized geometry Values from VASP.

Results
As for the total energy: -4.3230 eV per atom.

```
&SYSTEM
  ibrav = 0, nat = 9, ntyp = 3
/
ATOMIC_SPECIES
Ba 137.33 Ba.upf
S 32.06 S.upf
Br 79.90 Br.upf
CELL_PARAMETERS angstrom
8.221 -4.176 -1.224
-8.153 12.808 -1.914
-1.557 -0.604 4.794
ATOMIC_POSITIONS angstrom
Ba -2.932 8.712 -1.549
Ba 1.444 -0.685 3.205
S 1.524 4.643 -1.028
S -5.207 7.383 0.232
S -2.340 3.105 0.790
S 3.718 0.644 1.424
S -3.013 3.384 2.684
S 0.851 4.922 0.866
Br 0.000 0.000 0.000
```

=====

(2)
Material: CsTaB3
Method: DFT, PBE
State: optimized geometry Values from VASP.

Results
As for the total energy: -5.1519 eV per atom. The excess energy over the best structure of this formula in the dataset is 0 kJ/mol of formula units. The formation energy from the elements comes out at 135 kJ per mole of atoms.

```
&SYSTEM
  ibrav = 0, nat = 5, ntyp = 3
/
ATOMIC_SPECIES
Cs 132.91 Cs.upf
B 10.81 B.upf
Ta 180.95 Ta.upf
CELL_PARAMETERS angstrom
4.612 0.000 0.000
0.000 4.612 0.000
0.000 0.000 4.612
ATOMIC_POSITIONS angstrom
Cs 2.306 2.306 2.306
B 2.306 0.000 0.000
B 0.000 0.000 2.306
B 0.000 2.306 0.000
Ta 0.000 0.000 0.000
```